Ca2AgAs3Pt4 | GGA-PBE | optimized geometry

Computed properties:
**Crystal system**: tetragonal
**Formation energy**: -0.6380 eV/atom
**Magnetic moment**: 0.00 μB per cell

a = 4.3517 Å, b = 4.3517 Å, c = 10.5132 Å
α = 90.00°, β = 90.00°, γ = 90.00°
Fractional positions:
Ca 0.0000 0.5000 0.2493
Ca 0.5000 0.0000 0.7507
Ag 0.0000 0.0000 0.5000
As 0.0000 0.5000 0.8729
As 0.5000 0.0000 0.1271
As 0.5000 0.5000 0.5000
Pt 0.0000 0.0000 0.0000
Pt 0.0000 0.5000 0.6466
Pt 0.5000 0.0000 0.3534
Pt 0.5000 0.5000 0.0000